1.
{
  "formula": "NbTl2HgS4",
  "functional": "PBE",
  "state": "optimized geometry",
  "raw_formation_energy_ev_per_atom": -0.479,
  "spacegroup": "No. 82",
  "cell": [[7.7845, 0.0000, 0.0000], [0.0000, 7.7845, 0.0000], [0.0000, 0.0000, 7.9116]],
  "species": ["Nb", "Nb", "Tl", "Tl", "Tl", "Tl", "Hg", "Hg", "S", "S", "S", "S", "S", "S", "S", "S"],
  "fractional_positions": [[0.0000, 0.0000, 0.0000], [0.5000, 0.5000, 0.5000], [0.0000, 0.0000, 0.5000], [0.0000, 0.5000, 0.7500], [0.5000, 0.0000, 0.2500], [0.5000, 0.5000, 0.0000], [0.0000, 0.5000, 0.2500], [0.5000, 0.0000, 0.7500], [0.1566, 0.1858, 0.1663], [0.1858, 0.8434, 0.8337], [0.3142, 0.6566, 0.3337], [0.3434, 0.3142, 0.6663], [0.6566, 0.6858, 0.6663], [0.6858, 0.3434, 0.3337], [0.8142, 0.1566, 0.8337], [0.8434, 0.8142, 0.1663]]
}

=====

2.
{
  "formula": "NbHgW2S",
  "functional": "PBE",
  "state": "optimized geometry",
  "raw_formation_energy_ev_per_atom": 0.690,
  "spacegroup": "No. 123",
  "cell": [[4.4617, 0.0000, 0.0000], [0.0000, 4.4617, 0.0000], [0.0000, 0.0000, 4.5964]],
  "species": ["Nb", "Hg", "W", "W", "S"],
  "fractional_positions": [[0.0000, 0.0000, 0.0000], [0.5000, 0.5000, 0.0000], [0.0000, 0.5000, 0.5000], [0.5000, 0.0000, 0.5000], [0.0000, 0.0000, 0.5000]]
}

=====

3.
{
  "formula": "Nb2HgSb2",
  "functional": "PBE",
  "state": "optimized geometry",
  "raw_formation_energy_ev_per_atom": -0.102,
  "spacegroup": "No. 127",
  "cell": [[7.6955, 0.0000, 0.0000], [0.0000, 7.6955, 0.0000], [0.0000, 0.0000, 3.6335]],
  "species": ["Nb", "Nb", "Nb", "Nb", "Hg", "Hg", "Sb", "Sb", "Sb", "Sb"],
  "fractional_positions": [[0.1402, 0.3598, 0.0000], [0.3598, 0.8598, 0.0000], [0.6402, 0.1402, 0.0000], [0.8598, 0.6402, 0.0000], [0.0000, 0.0000, 0.0000], [0.5000, 0.5000, 0.0000], [0.1516, 0.6516, 0.5000], [0.3484, 0.1516, 0.5000], [0.6516, 0.8484, 0.5000], [0.8484, 0.3484, 0.5000]]
}

=====

4.
{
  "formula": "NbHgSb3",
  "functional": "PBE",
  "state": "optimized geometry",
  "raw_formation_energy_ev_per_atom": 1.321,
  "spacegroup": "No. 221",
  "cell": [[5.4491, 0.0000, 0.0000], [0.0000, 5.4491, 0.0000], [0.0000, 0.0000, 5.4491]],
  "species": ["Nb", "Hg", "Sb", "Sb", "Sb"],
  "fractional_positions": [[0.0000, 0.0000, 0.0000], [0.5000, 0.5000, 0.5000], [0.0000, 0.5000, 0.5000], [0.5000, 0.0000, 0.5000], [0.5000, 0.5000, 0.0000]]
}

=====

5.
{
  "formula": "NbHgSb3",
  "functional": "PBE",
  "state": "optimized geometry",
  "raw_formation_energy_ev_per_atom": 0.267,
  "spacegroup": "No. 221",
  "cell": [[5.3816, 0.0000, 0.0000], [0.0000, 5.3816, 0.0000], [0.0000, 0.0000, 5.3816]],
  "species": ["Nb", "Hg", "Sb", "Sb", "Sb"],
  "fractional_positions": [[0.0000, 0.0000, 0.0000], [0.5000, 0.5000, 0.5000], [0.0000, 0.0000, 0.5000], [0.0000, 0.5000, 0.0000], [0.5000, 0.0000, 0.0000]]
}

=====

6.
{
  "formula": "NbSnHg2Sb",
  "functional": "PBE",
  "state": "optimized geometry",
  "raw_formation_energy_ev_per_atom": 0.548,
  "spacegroup": "No. 123",
  "cell": [[5.4281, 0.0000, 0.0000], [0.0000, 5.4281, 0.0000], [0.0000, 0.0000, 5.3101]],
  "species": ["Nb", "Sn", "Hg", "Hg", "Sb"],
  "fractional_positions": [[0.0000, 0.0000, 0.0000], [0.5000, 0.5000, 0.5000], [0.0000, 0.5000, 0.0000], [0.5000, 0.0000, 0.0000], [0.0000, 0.0000, 0.5000]]
}

=====

7.
{
  "formula": "NbHgSbTe2",
  "functional": "PBE",
  "state": "optimized geometry",
  "raw_formation_energy_ev_per_atom": 1.205,
  "spacegroup": "No. 123",
  "cell": [[5.5312, 0.0000, 0.0000], [0.0000, 5.5312, 0.0000], [0.0000, 0.0000, 5.4309]],
  "species": ["Nb", "Hg", "Sb", "Te", "Te"],
  "fractional_positions": [[0.0000, 0.0000, 0.0000], [0.5000, 0.5000, 0.5000], [0.5000, 0.5000, 0.0000], [0.0000, 0.5000, 0.5000], [0.5000, 0.0000, 0.5000]]
}

=====

8.
{
  "formula": "NbHgSbTe2",
  "functional": "PBE",
  "state": "optimized geometry",
  "raw_formation_energy_ev_per_atom": 0.146,
  "spacegroup": "No. 123",
  "cell": [[5.4123, 0.0000, 0.0000], [0.0000, 5.4123, 0.0000], [0.0000, 0.0000, 5.5072]],
  "species": ["Nb", "Hg", "Sb", "Te", "Te"],
  "fractional_positions": [[0.0000, 0.0000, 0.0000], [0.5000, 0.5000, 0.5000], [0.0000, 0.0000, 0.5000], [0.0000, 0.5000, 0.0000], [0.5000, 0.0000, 0.0000]]
}

=====

9.
{
  "formula": "ScNbHg2",
  "functional": "PBE",
  "state": "optimized geometry",
  "spacegroup": "No. 122",
  "ef_ev_per_atom": 0.4582,
  "cell": [[4.2137, 0.0000, 0.0000], [0.0000, 4.2137, 0.0000], [0.0000, 0.0000, 20.6351]],
  "species": ["Sc", "Sc", "Sc", "Sc", "Nb", "Nb", "Nb", "Nb", "Hg", "Hg", "Hg", "Hg", "Hg", "Hg", "Hg", "Hg"],
  "fractional_positions": [[0.0000, 0.0000, 0.0000], [0.0000, 0.5000, 0.2500], [0.5000, 0.0000, 0.7500], [0.5000, 0.5000, 0.5000], [0.0000, 0.0000, 0.5000], [0.0000, 0.5000, 0.7500], [0.5000, 0.0000, 0.2500], [0.5000, 0.5000, 0.0000], [0.2421, 0.2500, 0.6250], [0.2500, 0.7421, 0.8750], [0.2500, 0.7579, 0.3750], [0.2579, 0.2500, 0.1250], [0.7421, 0.7500, 0.1250], [0.7500, 0.2421, 0.3750], [0.7500, 0.2579, 0.8750], [0.7579, 0.7500, 0.6250]]
}

=====

10.
{
  "formula": "Sc3NbHg",
  "functional": "PBE",
  "state": "optimized geometry",
  "spacegroup": "No. 221",
  "ef_ev_per_atom": 0.5409,
  "cell": [[5.0899, 0.0000, 0.0000], [0.0000, 5.0899, 0.0000], [0.0000, 0.0000, 5.0899]],
  "species": ["Sc", "Sc", "Sc", "Nb", "Hg"],
  "fractional_positions": [[0.0000, 0.0000, 0.5000], [0.0000, 0.5000, 0.0000], [0.5000, 0.0000, 0.0000], [0.0000, 0.0000, 0.0000], [0.5000, 0.5000, 0.5000]]
}

=====

11.
{
  "formula": "ScNbHg2",
  "functional": "PBE",
  "state": "optimized geometry",
  "spacegroup": "No. 123",
  "ef_ev_per_atom": -0.0286,
  "cell": [[4.4278, 0.0000, 0.0000], [0.0000, 4.4278, 0.0000], [0.0000, 0.0000, 4.1389]],
  "species": ["Sc", "Nb", "Hg", "Hg"],
  "fractional_positions": [[0.0000, 0.0000, 0.0000], [0.5000, 0.5000, 0.0000], [0.0000, 0.5000, 0.5000], [0.5000, 0.0000, 0.5000]]
}

=====

12.
{
  "formula": "Sc2NbHg2",
  "functional": "PBE",
  "state": "optimized geometry",
  "spacegroup": "No. 127",
  "ef_ev_per_atom": -0.0227,
  "cell": [[8.0329, 0.0000, 0.0000], [0.0000, 8.0329, 0.0000], [0.0000, 0.0000, 3.3152]],
  "species": ["Sc", "Sc", "Sc", "Sc", "Nb", "Nb", "Hg", "Hg", "Hg", "Hg"],
  "fractional_positions": [[0.1724, 0.3276, 0.0000], [0.3276, 0.8276, 0.0000], [0.6724, 0.1724, 0.0000], [0.8276, 0.6724, 0.0000], [0.0000, 0.0000, 0.5000], [0.5000, 0.5000, 0.5000], [0.1298, 0.6298, 0.5000], [0.3702, 0.1298, 0.5000], [0.6298, 0.8702, 0.5000], [0.8702, 0.3702, 0.5000]]
}